Record 1
Entry from Alexandria via LeMat-Bulk: a relaxed structure of GaTcNi2O6 (PBE with a Hubbard U).

## Properties
- Spin magnetization: 4.0 μB/cell
- Fermi-level density of states: 0.52 states/eV/cell
- Raw total energy: -5.80 eV/atom

a b c (Å): 4.854 5.190 5.190
angles (deg): 90.00 90.00 90.00
Each line ends with the local moment (μB).
Fractional positions:
Ga  0.575  0.000  0.000  0.00
Tc  0.580  0.500  0.500  0.00
Ni  0.923  0.500  0.000  1.77
Ni  0.923  0.000  0.500  1.77
O  0.751  0.253  0.253  0.09
O  0.751  0.253  0.747  0.09
O  0.233  0.500  0.500  0.00
O  0.209  0.000  0.000  0.04
O  0.751  0.747  0.747  0.09
O  0.751  0.747  0.253  0.09

Record 2
Entry from Alexandria via LeMat-Bulk: a relaxed structure of Ga2NiTeO8 (PBE with a Hubbard U).

## Properties
- Spin magnetization: 2.8 μB/cell
- Fermi-level density of states: 6.24 states/eV/cell
- Raw total energy: -5.41 eV/atom

a b c (Å): 4.598 4.595 6.082
angles (deg): 90.00 90.00 92.15
Each line ends with the local moment (μB).
Fractional positions:
Ga  0.500  0.500  0.745  0.01
Ga  0.500  0.500  0.255  0.01
Ni  0.000  0.000  0.500  1.98
Te  0.000  0.000  0.000  0.00
O  0.192  0.807  0.243  0.09
O  0.694  0.695  0.000  0.01
O  0.808  0.193  0.243  0.09
O  0.808  0.193  0.757  0.09
O  0.306  0.305  0.000  0.01
O  0.192  0.807  0.757  0.09
O  0.699  0.700  0.500  0.15
O  0.301  0.300  0.500  0.15

Look up the spin magnetization of the first one.
4.0 μB/cell

Which of these has the highest Fermi-level density of states?
Ga2NiTeO8

What did the second record say?
Entry from Alexandria via LeMat-Bulk: a relaxed structure of Ga2NiTeO8 (PBE with a Hubbard U).

## Properties
- Spin magnetization: 2.8 μB/cell
- Fermi-level density of states: 6.24 states/eV/cell
- Raw total energy: -5.41 eV/atom

a b c (Å): 4.598 4.595 6.082
angles (deg): 90.00 90.00 92.15
Each line ends with the local moment (μB).
Fractional positions:
Ga  0.500  0.500  0.745  0.01
Ga  0.500  0.500  0.255  0.01
Ni  0.000  0.000  0.500  1.98
Te  0.000  0.000  0.000  0.00
O  0.192  0.807  0.243  0.09
O  0.694  0.695  0.000  0.01
O  0.808  0.193  0.243  0.09
O  0.808  0.193  0.757  0.09
O  0.306  0.305  0.000  0.01
O  0.192  0.807  0.757  0.09
O  0.699  0.700  0.500  0.15
O  0.301  0.300  0.500  0.15